i | Entry from Alexandria: a relaxed Pa3Ge2Os crystal (PBE).

```
Pa3Ge2Os
1.0
-3.104 -2.213 1.535
6.012 -2.287 8.862
-4.258 9.711 5.395
Os Pa Ge
4 12 8
Direct
0.750 0.876 0.875 Os
0.750 0.624 0.375 Os
0.250 0.376 0.625 Os
0.250 0.124 0.125 Os
0.250 0.061 0.872 Pa
0.750 0.939 0.128 Pa
0.250 0.718 0.232 Pa
0.250 0.121 0.548 Pa
0.750 0.621 0.952 Pa
0.750 0.561 0.628 Pa
0.750 0.282 0.768 Pa
0.750 0.218 0.268 Pa
0.750 0.879 0.452 Pa
0.250 0.379 0.048 Pa
0.250 0.439 0.372 Pa
0.250 0.782 0.732 Pa
0.750 0.197 0.004 Ge
0.250 0.500 0.813 Ge
0.250 0.000 0.313 Ge
0.250 0.803 0.996 Ge
0.750 0.500 0.187 Ge
0.750 0.303 0.504 Ge
0.750 0.000 0.687 Ge
0.250 0.697 0.496 Ge
```

Results
Calculated density in g/cm3: 12.76
Space group: Pnma (62)
Crystal system: orthorhombic
Total magnetization in μB/cell: 0.0


ii | Entry from Alexandria: a relaxed Pa3Ge2Os crystal (PBE).

```
Pa3Ge2Os
1.0
-3.408 4.537 1.330
-4.015 -1.016 -6.823
-1.268 -5.854 3.953
Ge Pa Os
4 6 2
Direct
0.676 0.088 0.351 Ge
0.676 0.588 0.351 Ge
0.324 0.912 0.649 Ge
0.324 0.412 0.649 Ge
0.849 0.924 0.698 Pa
0.151 0.576 0.302 Pa
0.151 0.076 0.302 Pa
0.500 0.250 0.000 Pa
0.849 0.424 0.698 Pa
0.500 0.750 0.000 Pa
0.000 0.250 0.000 Os
0.000 0.750 0.000 Os
```

Results
Calculated density in g/cm3: 11.76
Space group: Immm (71)
Crystal system: orthorhombic
Total magnetization in μB/cell: 0.0


Calculated relative energies: i 0.0; ii 8.6, given in kJ/mol of atoms